[1]
Crystalline Pm12HoSn6 at its relaxed geometry. Source: Alexandria, functional PBE.

Summary:
Magnetization: 0.000 μB per atom
Electronic total energy: -4.779 eV per atom

Lattice parameters (Å, degrees): 9.152 9.152 9.152 107.48 107.48 107.48
Positions (direct):
1 Pm 0.915 0.658 0.564
2 Pm 0.564 0.915 0.658
3 Pm 0.658 0.564 0.915
4 Pm 0.085 0.342 0.436
5 Pm 0.436 0.085 0.342
6 Pm 0.342 0.436 0.085
7 Pm 0.031 0.892 0.335
8 Pm 0.108 0.665 0.969
9 Pm 0.665 0.969 0.108
10 Pm 0.969 0.108 0.665
11 Pm 0.892 0.335 0.031
12 Pm 0.335 0.031 0.892
13 Ho 0.000 0.000 0.000
14 Sn 0.656 0.781 0.344
15 Sn 0.656 0.344 0.219
16 Sn 0.219 0.656 0.344
17 Sn 0.344 0.219 0.656
18 Sn 0.344 0.656 0.781
19 Sn 0.781 0.344 0.656

=====

[2]
Crystalline Ac5SmSb6 at its relaxed geometry. Source: Alexandria, functional PBE.

Summary:
Magnetization: 0.000 μB per atom
Electronic total energy: -5.363 eV per atom
Energy relative to the elements, uncorrected: -1.197 eV/atom

Lattice parameters (Å, degrees): 8.226 8.226 8.226 99.61 99.61 119.99
Positions (direct):
1 Sb 0.405 0.081 0.243
2 Sb 0.919 0.595 0.757
3 Sb 0.241 0.241 0.754
4 Sb 0.759 0.759 0.246
5 Sb 0.081 0.405 0.243
6 Sb 0.595 0.919 0.757
7 Ac 0.831 0.169 0.500
8 Ac 0.666 0.334 0.000
9 Ac 0.500 0.500 0.500
10 Ac 0.334 0.666 0.000
11 Ac 0.169 0.831 0.500
12 Sm 0.000 0.000 0.000

=====

[3]
Crystalline RuW5 at its relaxed geometry. Source: Alexandria, functional PBE.

Summary:
Magnetization: 0.000 μB per atom
Electronic total energy: -11.536 eV per atom
Excess energy over the best structure of this formula in the dataset: 692 meV/atom

Lattice parameters (Å, degrees): 5.197 5.197 4.525 90.00 90.00 120.00
Positions (direct):
1 Ru 0.000 0.000 0.000
2 W 0.000 0.500 0.500
3 W 0.333 0.667 0.000
4 W 0.500 0.000 0.500
5 W 0.500 0.500 0.500
6 W 0.667 0.333 0.000

=====

[4]
Crystalline MnRhSe2 at its relaxed geometry. Source: Alexandria, functional PBE.

Summary:
Magnetization: 0.952 μB per atom
Electronic total energy: -5.514 eV per atom
Energy relative to the elements, uncorrected: 0.358 eV/atom
Excess energy over the best structure of this formula in the dataset: 686 meV/atom

Lattice parameters (Å, degrees): 4.574 4.574 4.574 60.00 60.00 60.00
Each line ends with the local moment (μB).
Positions (direct):
1 Mn 0.500 0.500 0.500  3.77
2 Rh 0.750 0.750 0.750  0.04
3 Se 0.000 0.000 0.000  -0.02
4 Se 0.250 0.250 0.250  -0.11

=====

[5]
Crystalline Nd4NiSeI2 at its relaxed geometry. Source: Alexandria, functional PBE.

Summary:
Magnetization: 0.000 μB per atom
Electronic total energy: -4.953 eV per atom
Energy relative to the elements, uncorrected: -1.023 eV/atom

Lattice parameters (Å, degrees): 4.114 7.591 8.118 106.67 90.00 90.00
Positions (direct):
1 Nd 0.500 0.205 0.190
2 Nd 0.500 0.795 0.810
3 Nd 0.000 0.258 0.802
4 Nd 0.000 0.742 0.198
5 Ni 0.000 0.000 0.000
6 Se 0.500 0.500 0.000
7 I 0.500 0.000 0.500
8 I 0.000 0.500 0.500

=====

[6]
Crystalline BeMoPt2 at its relaxed geometry. Source: Alexandria, functional PBE.

Summary:
Magnetization: 0.000 μB per atom
Electronic total energy: -6.944 eV per atom

Lattice parameters (Å, degrees): 3.850 2.765 6.005 62.78 90.00 90.00
Positions (direct):
1 Be 0.500 0.250 0.250
2 Mo 0.500 0.750 0.750
3 Pt 0.000 0.997 0.005
4 Pt 0.000 0.503 0.495

=====

[7]
Crystalline MgSbRh2 at its relaxed geometry. Source: Alexandria, functional PBE.

Summary:
Magnetization: 0.000 μB per atom
Electronic total energy: -5.335 eV per atom
Energy relative to the elements, uncorrected: -0.230 eV/atom

Lattice parameters (Å, degrees): 8.114 8.114 8.114 22.86 22.86 22.86
Positions (direct):
1 Mg 0.750 0.750 0.750
2 Rh 0.997 0.997 0.997
3 Rh 0.503 0.503 0.503
4 Sb 0.250 0.250 0.250

=====

[8]
Crystalline AcGe3Au3 at its relaxed geometry. Source: Alexandria, functional PBE.

Summary:
Magnetization: 0.000 μB per atom
Electronic total energy: -4.177 eV per atom
Excess energy over the best structure of this formula in the dataset: 30 meV/atom

Lattice parameters (Å, degrees): 7.091 7.091 7.091 90.00 90.00 90.00
Positions (direct):
1 Ac 0.500 0.500 0.500
2 Ac 0.000 0.000 0.000
3 Au 0.000 0.250 0.500
4 Au 0.000 0.750 0.500
5 Au 0.500 0.000 0.750
6 Au 0.750 0.500 0.000
7 Au 0.500 0.000 0.250
8 Au 0.250 0.500 0.000
9 Ge 0.250 0.000 0.500
10 Ge 0.000 0.500 0.250
11 Ge 0.500 0.750 0.000
12 Ge 0.750 0.000 0.500
13 Ge 0.000 0.500 0.750
14 Ge 0.500 0.250 0.000